Model 1:
DFT (GGA-PBEsol) results for an optimized crystal structure of BaAuSe2.

Geometry as POSCAR:
```
BaAuSe2
1.0
4.524 0.000 0.000
2.262 3.918 0.000
2.262 1.306 5.843
Au Se Ba
1 2 1
Cartesian
4.524 2.612 2.921 Au
2.262 1.306 1.867 Se
6.786 3.918 3.975 Se
0.000 0.000 0.000 Ba
```

Properties
The space group is R-3m.

Model 2:
DFT (GGA-PBEsol) results for an optimized crystal structure of BaAuSe2.

Geometry as POSCAR:
```
BaAuSe2
1.0
5.164 0.000 0.000
-2.582 4.494 -0.059
0.000 -2.912 4.265
Se Au Ba
2 1 1
Cartesian
0.000 0.063 3.170 Se
2.582 1.519 1.037 Se
2.582 -1.456 2.133 Au
0.000 0.000 0.000 Ba
```

Properties
The space group is I4/mmm.

Model 3:
DFT (GGA-PBEsol) results for an optimized crystal structure of BaAuSe2.

Geometry as POSCAR:
```
BaAuSe2
1.0
4.340 0.000 0.009
0.000 5.102 0.000
-0.007 0.000 5.101
Au Ba Se
1 1 2
Cartesian
3.541 0.000 3.203 Au
0.956 2.551 0.632 Ba
3.173 0.000 0.652 Se
3.171 2.551 3.186 Se
```

Properties
The space group is Pm.

Which is most stable? The ranking, best first, is model 3, model 1, model 2.

Model 1:
DFT (GGA-PBEsol) results for an optimized crystal structure of BaSrAu2.

Geometry as POSCAR:
```
BaSrAu2
1.0
-4.070 -3.248 -1.592
-1.419 -4.282 3.050
-4.725 0.031 2.705
Ba Au Sr
1 2 1
Cartesian
0.000 0.000 0.000 Ba
-7.660 -5.624 3.122 Au
-2.553 -1.875 1.041 Au
-5.107 -3.749 2.081 Sr
```

Properties
The space group is Fm-3m.

Model 2:
DFT (GGA-PBEsol) results for an optimized crystal structure of BaSrAu2.

Geometry as POSCAR:
```
BaSrAu2
1.0
4.317 0.000 0.000
0.000 4.448 0.000
-2.159 -2.224 7.094
Au Sr Ba
2 1 1
Cartesian
2.159 0.000 4.337 Au
2.159 2.224 6.058 Au
0.000 2.224 3.685 Sr
2.159 2.224 0.108 Ba
```

Properties
The space group is Imm2.

Model 3:
DFT (GGA-PBEsol) results for an optimized crystal structure of BaSrAu2.

Geometry as POSCAR:
```
BaSrAu2
1.0
3.848 0.000 0.000
0.000 3.848 0.000
0.000 0.000 7.645
Sr Au Ba
1 2 1
Cartesian
1.924 1.924 3.822 Sr
0.000 0.000 5.582 Au
0.000 0.000 2.063 Au
1.924 1.924 0.000 Ba
```

Properties
The space group is P4/mmm.

Which is most stable? The ranking, best first, is model 3, model 1, model 2.

Model 1:
DFT (GGA-PBEsol) results for an optimized crystal structure of BaSrAu2.

Geometry as POSCAR:
```
BaSrAu2
1.0
-4.261 -1.524 0.359
-1.335 -3.599 -2.423
0.193 -6.167 4.803
Ba Au Sr
1 2 1
Cartesian
0.000 0.000 0.000 Ba
-4.083 -8.402 1.972 Au
-1.320 -2.889 0.766 Au
-2.701 -5.645 1.369 Sr
```

Properties
The space group is R-3m.

Model 2:
DFT (GGA-PBEsol) results for an optimized crystal structure of BaSrAu2.

Geometry as POSCAR:
```
BaSrAu2
1.0
-0.144 -4.361 0.327
1.791 0.267 4.360
-5.373 2.527 2.052
Ba Au Sr
1 2 1
Cartesian
-5.276 0.335 2.147 Ba
0.322 0.170 2.413 Au
-2.199 0.140 0.895 Au
-2.019 -1.866 3.500 Sr
```

Properties
The space group is Amm2.

Which is most stable? The ranking, best first, is model 2, model 1.

Model 1:
DFT (GGA-PBEsol) results for an optimized crystal structure of Ba2TlAu.

Geometry as POSCAR:
```
Ba2TlAu
1.0
-0.894 1.938 -3.361
-3.499 -1.893 -0.160
-3.556 6.189 4.515
Ba Tl Au
2 1 1
Cartesian
-0.964 1.679 1.225 Ba
-2.591 4.510 3.291 Ba
-2.196 0.022 -1.760 Tl
-3.974 3.117 0.497 Au
```

Properties
The space group is P4/mmm.

Model 2:
DFT (GGA-PBEsol) results for an optimized crystal structure of Ba2TlAu.

Geometry as POSCAR:
```
Ba2TlAu
1.0
-0.051 -5.640 1.074
3.667 -2.229 3.814
-1.934 -1.945 5.044
Ba Tl Au
2 1 1
Cartesian
1.261 -7.361 7.449 Ba
0.420 -2.454 2.483 Ba
0.841 -4.907 4.966 Tl
0.000 0.000 0.000 Au
```

Properties
The space group is Fm-3m.

Model 3:
DFT (GGA-PBEsol) results for an optimized crystal structure of Ba2TlAu.

Geometry as POSCAR:
```
Ba2TlAu
1.0
3.991 0.000 0.000
0.000 5.796 0.000
0.000 0.000 5.797
Ba Au Tl
2 1 1
Cartesian
0.000 2.898 3.623 Ba
0.000 0.000 0.726 Ba
1.995 2.898 0.721 Au
1.995 0.000 3.625 Tl
```

Properties
The space group is Pmm2.

Model 4:
DFT (GGA-PBEsol) results for an optimized crystal structure of Ba2TlAu.

Geometry as POSCAR:
```
Ba2TlAu
1.0
-3.406 2.443 -1.814
-2.069 0.537 4.608
4.937 3.919 1.759
Tl Ba Au
1 2 1
Cartesian
-1.340 1.800 -0.811 Tl
0.396 6.472 2.222 Ba
1.728 2.747 0.455 Ba
-1.495 3.465 1.724 Au
```

Properties
The space group is Amm2.

Which is most stable? The ranking, best first, is model 1, model 3, model 4, model 2.

Model 1:
DFT (GGA-PBEsol) results for an optimized crystal structure of Ba3YAu.

Geometry as POSCAR:
```
Ba3YAu
1.0
6.163 0.000 0.000
0.000 6.163 0.000
0.000 0.000 6.163
Ba Y Au
3 1 1
Cartesian
0.000 0.000 3.081 Ba
3.081 0.000 0.000 Ba
0.000 3.081 0.000 Ba
0.000 0.000 0.000 Y
3.081 3.081 3.081 Au
```

Properties
The space group is Pm-3m.

Model 2:
DFT (GGA-PBEsol) results for an optimized crystal structure of Ba3YAu.

Geometry as POSCAR:
```
Ba3YAu
1.0
-2.127 -5.857 -0.084
-0.013 -0.084 6.231
-5.858 2.127 0.017
Au Ba Y
1 3 1
Cartesian
0.000 0.000 0.000 Au
-1.063 -2.929 -0.042 Ba
-0.006 -0.042 3.116 Ba
-2.929 1.063 0.008 Ba
-3.999 -1.907 3.082 Y
```

Properties
The space group is Pm-3m.

Which is most stable? The ranking, best first, is model 2, model 1.

Model 1:
DFT (GGA-PBEsol) results for an optimized crystal structure of Ba2YAu.

Geometry as POSCAR:
```
Ba2YAu
1.0
4.725 0.000 0.000
0.000 4.725 0.000
-2.362 -2.362 5.663
Ba Au Y
2 1 1
Cartesian
2.362 0.000 2.831 Ba
0.000 2.362 2.831 Ba
0.000 0.000 0.000 Au
2.362 2.362 0.000 Y
```

Properties
The space group is I4/mmm.

Model 2:
DFT (GGA-PBEsol) results for an optimized crystal structure of Ba2YAu.

Geometry as POSCAR:
```
Ba2YAu
1.0
-3.579 -3.190 3.240
1.369 -5.472 1.291
1.481 -1.412 5.412
Ba Y Au
2 1 1
Cartesian
-0.547 -7.555 7.457 Ba
-0.182 -2.518 2.486 Ba
-0.365 -5.037 4.972 Y
0.000 0.000 0.000 Au
```

Properties
The space group is Fm-3m.

Which is most stable? The ranking, best first, is model 1, model 2.